--- 1 ---
! Fe3MoF (PBE with a Hubbard U, optimized geometry); values from VASP
! - crystal system = cubic
! - magnetization (μB/cell) = 13.0
&SYSTEM
  ibrav = 0, nat = 5, ntyp = 3
/
ATOMIC_SPECIES
Mo 95.94 Mo.upf
Fe 55.84 Fe.upf
F 19.00 F.upf
ATOMIC_POSITIONS crystal
Mo 0.500 0.500 0.500
Fe 0.000 0.000 0.500
F 0.000 0.000 0.000
Fe 0.500 0.000 0.000
Fe 0.000 0.500 0.000
CELL_PARAMETERS angstrom
-2.841 3.175 0.521
-2.915 -2.834 1.379
1.364 0.559 4.032

--- 2 ---
! Fe3MoF (PBE with a Hubbard U, optimized geometry); values from VASP
! - crystal system = cubic
! - magnetization (μB/cell) = 8.8
&SYSTEM
  ibrav = 0, nat = 5, ntyp = 3
/
ATOMIC_SPECIES
Fe 55.84 Fe.upf
F 19.00 F.upf
Mo 95.94 Mo.upf
ATOMIC_POSITIONS crystal
Fe 0.000 0.500 0.000
F 0.500 0.500 0.500
Mo 0.000 0.000 0.000
Fe 0.000 0.000 0.500
Fe 0.500 0.000 0.000
CELL_PARAMETERS angstrom
-4.685 -0.866 -1.196
0.596 -4.749 1.106
-1.351 0.909 4.635

From most stable to least stable, the computed energies give 1, 2.

--- 1 ---
! FeMoNF2 (PBE with a Hubbard U, optimized geometry); values from VASP
! - crystal system = tetragonal
! - magnetization (μB/cell) = 5.1
&SYSTEM
  ibrav = 0, nat = 5, ntyp = 4
/
ATOMIC_SPECIES
F 19.00 F.upf
Fe 55.84 Fe.upf
N 14.01 N.upf
Mo 95.94 Mo.upf
ATOMIC_POSITIONS crystal
F 0.000 0.500 0.000
F 0.500 0.000 0.000
Fe 0.500 0.500 0.500
N 0.000 0.000 0.500
Mo 0.000 0.000 0.000
CELL_PARAMETERS angstrom
4.210 0.000 0.000
0.000 4.210 0.000
0.000 0.000 4.009

--- 2 ---
! FeMoNF2 (PBE with a Hubbard U, optimized geometry); values from VASP
! - crystal system = tetragonal
! - magnetization (μB/cell) = 9.0
&SYSTEM
  ibrav = 0, nat = 5, ntyp = 4
/
ATOMIC_SPECIES
F 19.00 F.upf
Mo 95.94 Mo.upf
Fe 55.84 Fe.upf
N 14.01 N.upf
ATOMIC_POSITIONS crystal
F 0.500 0.000 0.000
Mo 0.500 0.500 0.500
Fe 0.000 0.000 0.000
N 0.000 0.000 0.500
F 0.000 0.500 0.000
CELL_PARAMETERS angstrom
-1.362 -1.990 3.082
1.207 -3.347 -1.628
3.714 0.411 1.907

From most stable to least stable, the computed energies give 2, 1.

--- 1 ---
! FeMoOF2 (PBE with a Hubbard U, optimized geometry); values from VASP
! - crystal system = tetragonal
! - magnetization (μB/cell) = 6.1
&SYSTEM
  ibrav = 0, nat = 5, ntyp = 4
/
ATOMIC_SPECIES
Mo 95.94 Mo.upf
O 16.00 O.upf
F 19.00 F.upf
Fe 55.84 Fe.upf
ATOMIC_POSITIONS crystal
Mo 0.000 0.000 0.000
O 0.000 0.000 0.500
F 0.500 0.000 0.000
F 0.000 0.500 0.000
Fe 0.500 0.500 0.500
CELL_PARAMETERS angstrom
4.192 0.000 0.000
0.000 4.192 0.000
0.000 0.000 4.215

--- 2 ---
! FeMoOF2 (PBE with a Hubbard U, optimized geometry); values from VASP
! - crystal system = tetragonal
! - magnetization (μB/cell) = 2.9
&SYSTEM
  ibrav = 0, nat = 5, ntyp = 4
/
ATOMIC_SPECIES
Fe 55.84 Fe.upf
O 16.00 O.upf
F 19.00 F.upf
Mo 95.94 Mo.upf
ATOMIC_POSITIONS crystal
Fe 0.000 0.000 0.000
O 0.000 0.000 0.500
F 0.500 0.000 0.000
F 0.000 0.500 0.000
Mo 0.500 0.500 0.500
CELL_PARAMETERS angstrom
3.943 0.000 0.000
0.000 3.943 0.000
0.000 0.000 3.924

From most stable to least stable, the computed energies give 1, 2.

--- 1 ---
! FeNF2 (PBE with a Hubbard U, optimized geometry); values from VASP
! - crystal system = trigonal
! - magnetization (μB/cell) = 1.0
&SYSTEM
  ibrav = 0, nat = 4, ntyp = 3
/
ATOMIC_SPECIES
F 19.00 F.upf
N 14.01 N.upf
Fe 55.84 Fe.upf
ATOMIC_POSITIONS crystal
F 0.875 0.875 0.875
N 0.000 0.000 0.000
F 0.125 0.125 0.125
Fe 0.500 0.500 0.500
CELL_PARAMETERS angstrom
1.860 0.000 8.003
-0.930 1.611 8.003
-0.930 -1.611 8.003

--- 2 ---
! FeNF2 (PBE with a Hubbard U, optimized geometry); values from VASP
! - crystal system = cubic
! - magnetization (μB/cell) = 1.3
&SYSTEM
  ibrav = 0, nat = 4, ntyp = 3
/
ATOMIC_SPECIES
F 19.00 F.upf
Fe 55.84 Fe.upf
N 14.01 N.upf
ATOMIC_POSITIONS crystal
F 0.250 0.250 0.250
Fe 0.500 0.500 0.500
N 0.000 0.000 0.000
F 0.750 0.750 0.750
CELL_PARAMETERS angstrom
0.000 2.742 2.742
2.742 0.000 2.742
2.742 2.742 0.000

--- 3 ---
! FeNF2 (PBE with a Hubbard U, optimized geometry); values from VASP
! - crystal system = triclinic
! - magnetization (μB/cell) = 8.0
&SYSTEM
  ibrav = 0, nat = 8, ntyp = 3
/
ATOMIC_SPECIES
F 19.00 F.upf
N 14.01 N.upf
Fe 55.84 Fe.upf
ATOMIC_POSITIONS crystal
F 0.799 0.519 0.883
N 0.519 0.586 0.481
F 0.201 0.481 0.117
Fe 0.249 0.752 0.003
N 0.481 0.414 0.519
F 0.299 0.014 0.881
Fe 0.751 0.248 0.997
F 0.701 0.986 0.119
CELL_PARAMETERS angstrom
-2.957 -1.582 0.260
1.210 -3.005 -4.550
1.528 -4.696 7.039

From most stable to least stable, the computed energies give 3, 1, 2.

--- 1 ---
! NbFeN2F (PBE with a Hubbard U, optimized geometry); values from VASP
! - crystal system = tetragonal
! - magnetization (μB/cell) = 3.8
&SYSTEM
  ibrav = 0, nat = 5, ntyp = 4
/
ATOMIC_SPECIES
N 14.01 N.upf
F 19.00 F.upf
Fe 55.84 Fe.upf
Nb 92.91 Nb.upf
ATOMIC_POSITIONS crystal
N 0.000 0.500 0.000
N 0.500 0.000 0.000
F 0.000 0.000 0.500
Fe 0.500 0.500 0.500
Nb 0.000 0.000 0.000
CELL_PARAMETERS angstrom
4.102 0.000 0.000
0.000 4.102 0.000
0.000 0.000 4.015

--- 2 ---
! NbFeN2F (PBE with a Hubbard U, optimized geometry); values from VASP
! - crystal system = tetragonal
! - magnetization (μB/cell) = 1.7
&SYSTEM
  ibrav = 0, nat = 5, ntyp = 4
/
ATOMIC_SPECIES
N 14.01 N.upf
F 19.00 F.upf
Fe 55.84 Fe.upf
Nb 92.91 Nb.upf
ATOMIC_POSITIONS crystal
N 0.000 0.500 0.000
N 0.500 0.000 0.000
F 0.000 0.000 0.500
Fe 0.000 0.000 0.000
Nb 0.500 0.500 0.500
CELL_PARAMETERS angstrom
3.808 0.000 0.000
0.000 3.808 0.000
0.000 0.000 3.566

From most stable to least stable, the computed energies give 1, 2.

--- 1 ---
! FeNiN2F (PBE with a Hubbard U, optimized geometry); values from VASP
! - crystal system = tetragonal
! - magnetization (μB/cell) = 5.5
&SYSTEM
  ibrav = 0, nat = 5, ntyp = 4
/
ATOMIC_SPECIES
Ni 58.69 Ni.upf
Fe 55.84 Fe.upf
F 19.00 F.upf
N 14.01 N.upf
ATOMIC_POSITIONS crystal
Ni 0.500 0.500 0.500
Fe 0.000 0.000 0.000
F 0.000 0.000 0.500
N 0.000 0.500 0.000
N 0.500 0.000 0.000
CELL_PARAMETERS angstrom
-3.374 0.637 1.600
-1.324 -3.210 -1.514
1.145 -1.984 3.206

--- 2 ---
! FeNiN2F (PBE with a Hubbard U, optimized geometry); values from VASP
! - crystal system = tetragonal
! - magnetization (μB/cell) = 6.7
&SYSTEM
  ibrav = 0, nat = 5, ntyp = 4
/
ATOMIC_SPECIES
Ni 58.69 Ni.upf
N 14.01 N.upf
F 19.00 F.upf
Fe 55.84 Fe.upf
ATOMIC_POSITIONS crystal
Ni 0.000 0.000 0.000
N 0.500 0.000 0.000
F 0.000 0.000 0.500
Fe 0.500 0.500 0.500
N 0.000 0.500 0.000
CELL_PARAMETERS angstrom
3.720 0.000 0.000
0.000 3.720 0.000
0.000 0.000 3.987

From most stable to least stable, the computed energies give 1, 2.

--- 1 ---
! FeNiNF2 (PBE with a Hubbard U, optimized geometry); values from VASP
! - crystal system = tetragonal
! - magnetization (μB/cell) = 5.0
&SYSTEM
  ibrav = 0, nat = 5, ntyp = 4
/
ATOMIC_SPECIES
F 19.00 F.upf
N 14.01 N.upf
Fe 55.84 Fe.upf
Ni 58.69 Ni.upf
ATOMIC_POSITIONS crystal
F 0.500 0.000 0.000
F 0.000 0.500 0.000
N 0.000 0.000 0.500
Fe 0.500 0.500 0.500
Ni 0.000 0.000 0.000
CELL_PARAMETERS angstrom
3.779 0.000 0.000
0.000 3.779 0.000
0.000 0.000 4.107

--- 2 ---
! FeNiNF2 (PBE with a Hubbard U, optimized geometry); values from VASP
! - crystal system = tetragonal
! - magnetization (μB/cell) = 6.9
&SYSTEM
  ibrav = 0, nat = 5, ntyp = 4
/
ATOMIC_SPECIES
Fe 55.84 Fe.upf
F 19.00 F.upf
Ni 58.69 Ni.upf
N 14.01 N.upf
ATOMIC_POSITIONS crystal
Fe 0.000 0.000 0.000
F 0.000 0.500 0.000
F 0.500 0.000 0.000
Ni 0.500 0.500 0.500
N 0.000 0.000 0.500
CELL_PARAMETERS angstrom
3.851 0.000 0.000
0.000 3.851 0.000
0.000 0.000 4.131

From most stable to least stable, the computed energies give 1, 2.

--- 1 ---
! FeOsNF2 (PBE with a Hubbard U, optimized geometry); values from VASP
! - crystal system = tetragonal
! - magnetization (μB/cell) = 8.0
&SYSTEM
  ibrav = 0, nat = 5, ntyp = 4
/
ATOMIC_SPECIES
F 19.00 F.upf
Fe 55.84 Fe.upf
Os 190.23 Os.upf
N 14.01 N.upf
ATOMIC_POSITIONS crystal
F 0.500 0.000 0.000
F 0.000 0.500 0.000
Fe 0.000 0.000 0.000
Os 0.500 0.500 0.500
N 0.000 0.000 0.500
CELL_PARAMETERS angstrom
3.721 0.000 0.000
0.000 3.721 0.000
0.000 0.000 4.610

--- 2 ---
! FeOsNF2 (PBE with a Hubbard U, optimized geometry); values from VASP
! - crystal system = tetragonal
! - magnetization (μB/cell) = 4.2
&SYSTEM
  ibrav = 0, nat = 5, ntyp = 4
/
ATOMIC_SPECIES
F 19.00 F.upf
Os 190.23 Os.upf
N 14.01 N.upf
Fe 55.84 Fe.upf
ATOMIC_POSITIONS crystal
F 0.500 0.000 0.000
Os 0.000 0.000 0.000
F 0.000 0.500 0.000
N 0.000 0.000 0.500
Fe 0.500 0.500 0.500
CELL_PARAMETERS angstrom
-4.006 1.026 1.208
-0.821 -4.152 0.806
1.185 0.454 3.547

From most stable to least stable, the computed energies give 2, 1.